Entry from the Alexandria database: crystalline Tb2HoGaN at its relaxed geometry (PBE).

Computed properties:
The density of states at the Fermi level is 0.48 states/eV/atom. The value obtained for the uncorrected formation energy is -93.4 kJ per mole of atoms.

a = 4.7809 Å, b = 4.7809 Å, c = 4.7218 Å
α = 90.00°, β = 90.00°, γ = 90.00°
Fractional positions:
1 Tb 0.0000 0.5000 0.0000
2 Tb 0.5000 0.0000 0.0000
3 Ho 0.0000 0.0000 0.5000
4 Ga 0.5000 0.5000 0.5000
5 N 0.0000 0.0000 0.0000